## Pa2CrCdO8 (GGA+U)

Data for a relaxed Pa2CrCdO8 crystal.

abc: 6.6594 6.6594 6.6594
angles: 132.94 132.94 68.74
Sites, in units of the cell vectors:
Pa: 0.0000 0.0000 0.0000
Pa: 0.7500 0.2500 0.5000
Cr: 0.2500 0.7500 0.5000
Cd: 0.5000 0.5000 0.0000
O: 0.0916 0.6003 0.8862
O: 0.1075 0.0213 0.4526
O: 0.3452 0.8925 0.9138
O: 0.3997 0.2859 0.4913
O: 0.5686 0.6548 0.5474
O: 0.7141 0.2054 0.1138
O: 0.7946 0.9084 0.5087
O: 0.9787 0.4314 0.0862

Computed properties:
D(E_F), states/eV/f.u.: 0.00
M_tot, μB/atom: 0.167
Crystal system: tetragonal
Calculated total energy, eV for the cell shown: -98.541